[1]
La4TcHBr2 PBE-GGA relaxed; DFT total energy = -43.0 eV per cell
1.0
-3.6495 1.8463 -0.6723
-2.9433 -5.9865 -0.4627
-0.3912 2.1440 8.0114
La Tc H Br
4 1 1 2
Direct
0.5000 0.2375 0.1977 La
0.5000 0.7625 0.8023 La
0.0000 0.2513 0.8024 La
0.0000 0.7487 0.1976 La
0.5000 0.5000 0.0000 Tc
0.0000 0.0000 0.0000 H
0.5000 0.0000 0.5000 Br
0.0000 0.5000 0.5000 Br

=====

[2]
LaTm3 PBE-GGA relaxed; DFT total energy = -18.2 eV per cell
1.0
-3.3379 0.6627 1.3190
1.0924 -3.8860 4.7169
3.1876 5.9120 0.0467
Tm La
3 1
Direct
0.2457 0.5836 0.4915 Tm
0.5000 0.4993 0.0000 Tm
0.7543 0.0921 0.5085 Tm
0.0000 0.9917 0.0000 La

=====

[3]
SrBiAu PBE-GGA relaxed; DFT total energy = -21.6 eV per cell
1.0
-3.3659 1.9018 3.3153
-0.5586 -2.1533 4.5713
3.7313 6.9508 3.7300
Sr Au Bi
2 2 2
Direct
0.0652 0.3765 0.8335 Sr
0.0094 0.9037 0.4200 Sr
0.2833 0.7675 0.0057 Au
0.7912 0.5129 0.2478 Au
0.5373 0.6401 0.6268 Bi
0.5373 0.1401 0.1268 Bi

=====

[4]
Zn2CrCl PBE-GGA relaxed; DFT total energy = -12.5 eV per cell
1.0
4.7624 0.0000 0.0000
2.3812 4.1243 0.0000
2.3812 1.3748 3.8885
Cr Zn Cl
1 2 1
Direct
0.7500 0.7500 0.7500 Cr
0.0000 0.0000 0.0000 Zn
0.2500 0.2500 0.2500 Zn
0.5000 0.5000 0.5000 Cl

=====

[5]
CaAsS2Cl PBE-GGA relaxed; DFT total energy = -20.3 eV per cell
1.0
-0.4396 -4.6260 1.5802
0.9592 -1.6373 -4.5265
4.7444 -0.0956 1.0400
S As Ca Cl
2 1 1 1
Direct
0.0000 0.5000 0.0000 S
0.5000 0.0000 0.0000 S
0.0000 0.0000 0.0000 As
0.5000 0.5000 0.5000 Ca
0.0000 0.0000 0.5000 Cl

=====

[6]
Ac3Zn4Pb2 PBE-GGA relaxed; DFT total energy = -28.3 eV per cell
1.0
4.7559 0.0000 0.0000
-2.3779 5.9030 -1.5688
0.0000 -0.1228 9.2324
Ac Zn Pb
3 4 2
Direct
0.6672 0.3345 0.6704 Ac
0.0000 0.0000 0.0000 Ac
0.3328 0.6655 0.3296 Ac
0.7461 0.4921 0.0583 Zn
0.2539 0.5079 0.9417 Zn
0.9730 0.9461 0.6250 Zn
0.0270 0.0539 0.3750 Zn
0.6164 0.2328 0.2788 Pb
0.3836 0.7672 0.7212 Pb

=====

[7]
KSr2CaC PBE-GGA relaxed; DFT total energy = -8.6 eV per cell
1.0
6.7462 0.0000 0.0000
0.0000 4.7028 0.0000
0.0000 0.0000 6.7462
C Sr Ca K
1 2 1 1
Direct
0.0000 0.5000 0.0000 C
0.0000 0.0000 0.5000 Sr
0.5000 0.0000 0.0000 Sr
0.5000 0.5000 0.5000 Ca
0.0000 0.0000 0.0000 K

=====

[8]
RbCrSb PBE-GGA relaxed; DFT total energy = -28.0 eV per cell
1.0
-0.9912 -3.7814 0.5062
2.7789 -2.6734 0.8177
-1.2242 0.1691 14.2143
Cr Rb Sb
2 2 2
Direct
0.3202 0.3202 0.0396 Cr
0.6798 0.6798 0.9604 Cr
0.1125 0.1125 0.6626 Rb
0.8875 0.8875 0.3374 Rb
0.3814 0.3814 0.8559 Sb
0.6186 0.6186 0.1441 Sb

=====

[9]
Tb2Er6Hg PBE-GGA relaxed; DFT total energy = -74.1 eV per cell
1.0
5.3549 0.0000 0.2707
0.0001 9.8054 -0.0009
-0.5113 -0.0009 10.1497
Tb Er Hg
4 12 2
Direct
0.9999 0.3035 0.7632 Tb
0.5001 0.8035 0.7367 Tb
0.4999 0.1965 0.2633 Tb
0.0001 0.6965 0.2368 Tb
0.0000 0.0232 0.1797 Er
0.0001 0.6798 0.5626 Er
0.0001 0.6353 0.8886 Er
0.4999 0.1353 0.6114 Er
0.4999 0.1798 0.9374 Er
0.5000 0.5233 0.3204 Er
0.0000 0.9768 0.8203 Er
0.9999 0.3202 0.4374 Er
0.9999 0.3647 0.1114 Er
0.5001 0.8647 0.3886 Er
0.5001 0.8202 0.0626 Er
0.5000 0.4767 0.6796 Er
0.5000 0.5000 0.0000 Hg
0.0000 0.0000 0.5000 Hg

=====

[10]
Pm8Ho2Al PBE-GGA relaxed; DFT total energy = -50.5 eV per cell
1.0
-1.3352 -4.7139 -2.4242
3.4160 -4.0833 6.0586
-7.8843 4.0593 2.6122
Pm Ho Al
8 2 1
Direct
0.3940 0.5779 0.7879 Pm
0.6607 0.9113 0.3214 Pm
0.8243 0.7812 0.6486 Pm
0.9853 0.2344 0.9706 Pm
0.1757 0.2188 0.3514 Pm
0.3393 0.0887 0.6786 Pm
0.6060 0.4221 0.2121 Pm
0.0147 0.7656 0.0294 Pm
0.8080 0.3447 0.6160 Ho
0.1920 0.6553 0.3840 Ho
0.5000 0.0000 0.0000 Al

=====

[11]
NbTc2Au2 PBE-GGA relaxed; DFT total energy = -35.1 eV per cell
1.0
3.5895 0.0000 0.0000
0.0000 3.5895 0.0000
1.7948 1.7948 6.8783
Nb Au Tc
1 2 2
Direct
0.0000 0.0000 0.0000 Nb
0.4020 0.4020 0.1960 Au
0.5980 0.5980 0.8040 Au
0.7500 0.2500 0.5000 Tc
0.2500 0.7500 0.5000 Tc

=====

[12]
Y3Pt2Rh PBE-GGA relaxed; DFT total energy = -90.7 eV per cell
1.0
4.9333 0.0000 0.0195
2.4667 7.4008 0.0098
-0.0275 0.0000 6.9274
Y Pt Rh
6 4 2
Direct
0.8321 0.3358 0.7525 Y
0.5000 0.0000 0.2480 Y
0.1679 0.6642 0.2475 Y
0.8321 0.3358 0.2475 Y
0.1679 0.6642 0.7525 Y
0.5000 0.0000 0.7520 Y
0.0000 0.0000 0.0000 Pt
0.0000 0.0000 0.5000 Pt
0.3347 0.3306 0.5000 Pt
0.6653 0.6694 0.5000 Pt
0.3314 0.3373 0.0000 Rh
0.6686 0.6627 0.0000 Rh

=====

[13]
Ce2HO PBE-GGA relaxed; DFT total energy = -26.4 eV per cell
1.0
3.5201 0.0000 0.0000
1.7600 3.0485 0.0000
1.7600 1.0162 5.9199
H O Ce
1 1 2
Direct
0.0000 0.0000 0.0000 H
0.5000 0.5000 0.5000 O
0.7537 0.7537 0.7390 Ce
0.2463 0.2463 0.2610 Ce

=====

[14]
EuMgTlPb PBE-GGA relaxed; DFT total energy = -19.2 eV per cell
1.0
5.4396 0.0000 0.0000
2.7198 4.7108 0.0000
2.7198 1.5703 4.4414
Pb Eu Tl Mg
1 1 1 1
Direct
0.5000 0.5000 0.5000 Pb
0.7500 0.7500 0.7500 Eu
0.0000 0.0000 0.0000 Tl
0.2500 0.2500 0.2500 Mg

=====

[15]
Tl2CuP PBE-GGA relaxed; DFT total energy = -14.4 eV per cell
1.0
-1.0223 -0.4600 -3.8216
-3.5257 -1.5940 -0.9435
-4.6629 6.3419 -1.5570
P Tl Cu
1 2 1
Direct
0.2084 0.2084 0.3749 P
0.9657 0.9657 0.0978 Tl
0.7845 0.7845 0.6522 Tl
0.5415 0.5415 0.3751 Cu

=====

[16]
Tm5RhS4 PBE-GGA relaxed; DFT total energy = -63.1 eV per cell
1.0
3.8312 0.0000 -0.5399
-0.0761 3.8304 -0.5399
0.0350 0.0357 14.1107
Tm Rh S
5 1 4
Direct
0.0985 0.0985 0.1970 Tm
0.5000 0.5000 0.0000 Tm
0.9015 0.9015 0.8030 Tm
0.2965 0.2965 0.5930 Tm
0.7035 0.7035 0.4070 Tm
0.0000 0.0000 0.0000 Rh
0.3948 0.3948 0.7896 S
0.8022 0.8022 0.6044 S
0.1978 0.1978 0.3956 S
0.6052 0.6052 0.2104 S

=====

[17]
Ho2NpN4 PBE-GGA relaxed; DFT total energy = -131.4 eV per cell
1.0
3.5094 0.0000 0.0000
0.0000 5.7842 0.0000
0.0000 0.0000 9.6187
Ho Np N
4 2 8
Direct
0.5000 0.9324 0.8222 Ho
0.5000 0.0676 0.1778 Ho
0.5000 0.4324 0.6778 Ho
0.5000 0.5676 0.3222 Ho
0.0000 0.0000 0.5000 Np
0.0000 0.5000 0.0000 Np
0.0000 0.6410 0.8053 N
0.0000 0.3590 0.1947 N
0.0000 0.1410 0.6947 N
0.0000 0.8590 0.3053 N
0.5000 0.7692 0.5461 N
0.5000 0.2308 0.4539 N
0.5000 0.7308 0.0461 N
0.5000 0.2692 0.9539 N

=====

[18]
Nd6Y3Ho2 PBE-GGA relaxed; DFT total energy = -54.0 eV per cell
1.0
-3.8025 1.5816 -2.4946
-2.9481 -1.7805 3.3648
4.0142 14.7250 7.8639
Nd Y Ho
6 3 2
Direct
0.1191 0.6191 0.2382 Nd
0.6191 0.1191 0.2382 Nd
0.8809 0.3809 0.7618 Nd
0.3809 0.8809 0.7618 Nd
0.6956 0.6956 0.3912 Nd
0.3044 0.3044 0.6088 Nd
0.0000 0.0000 0.0000 Y
0.7990 0.7990 0.5980 Y
0.2010 0.2010 0.4020 Y
0.4549 0.4549 0.9098 Ho
0.5451 0.5451 0.0902 Ho

=====

[19]
Re4SbRh PBE-GGA relaxed; DFT total energy = -57.1 eV per cell
1.0
0.0000 3.7008 3.7008
3.7008 0.0000 3.7008
3.7008 3.7008 0.0000
Re Sb Rh
4 1 1
Direct
0.6230 0.6230 0.1311 Re
0.6230 0.1311 0.6230 Re
0.6230 0.6230 0.6230 Re
0.1311 0.6230 0.6230 Re
0.0000 0.0000 0.0000 Sb
0.2500 0.2500 0.2500 Rh

=====

[20]
Sm4Dy2Pb3O2 PBE-GGA relaxed; DFT total energy = -64.1 eV per cell
1.0
-4.2427 -1.8876 1.0979
2.1639 -3.3117 2.6682
0.2524 10.2965 8.3085
Sm Dy Pb O
4 2 3 2
Direct
0.4158 0.9158 0.8316 Sm
0.9158 0.4158 0.8316 Sm
0.0842 0.5842 0.1684 Sm
0.5842 0.0842 0.1684 Sm
0.3071 0.3071 0.6141 Dy
0.6929 0.6929 0.3859 Dy
0.0000 0.0000 0.0000 Pb
0.1813 0.1813 0.3626 Pb
0.8187 0.8187 0.6374 Pb
0.3959 0.3959 0.7918 O
0.6041 0.6041 0.2082 O